Record 1
Density functional theory data (PBE) for a geometry-optimized NaCaZnF6 structure.

Results
Formation energy without anion corrections   -2.67 eV/atom

```
NaCaZnF6
1.0
5.056 0.000 0.000
0.000 5.056 0.000
0.000 0.000 10.148
Na Ca Zn F
2 2 2 12
Cartesian
0.000 0.000 0.000
2.528 2.528 5.074
0.000 0.000 6.787
2.528 2.528 1.713
0.000 0.000 3.374
2.528 2.528 8.448
0.919 0.919 4.890
0.939 0.939 1.892
1.127 1.127 8.426
1.401 3.655 3.352
1.589 3.468 6.966
1.610 3.447 9.964
3.447 1.610 9.964
3.468 1.589 6.966
3.655 1.401 3.352
3.929 3.929 8.426
4.117 4.117 1.892
4.138 4.138 4.890
```



Record 2
Density functional theory data (PBE) for a geometry-optimized CsK5NaHg structure.

```
CsK5NaHg
1.0
4.756 -8.351 0.000
4.756 8.351 0.000
-0.090 0.000 12.800
Cs K Na Hg
2 10 2 2
Cartesian
4.688 6.743 9.600
4.733 -6.743 3.200
3.893 4.944 5.131
2.588 0.529 12.656
5.573 4.944 1.269
2.633 -0.529 6.256
4.688 2.508 9.600
4.733 -2.508 3.200
6.789 0.529 6.544
3.848 -4.944 11.532
6.834 -0.529 0.144
5.528 -4.944 7.669
4.733 1.582 3.200
4.688 -1.582 9.600
2.378 4.175 0.000
2.333 -4.175 6.400
```



Record 3
Density functional theory data (PBE) for a geometry-optimized Na2Zr2TiTe6 structure.

Results
Formation energy without anion corrections   -0.87 eV/atom

```
Na2Zr2TiTe6
1.0
3.476 -6.024 0.000
3.476 6.024 0.000
-2.409 0.000 7.910
Na Zr Ti Te
2 2 1 6
Cartesian
3.476 3.971 0.000
3.476 -3.971 0.000
2.272 2.027 3.955
2.272 -2.027 3.955
-1.205 0.000 3.955
-0.068 1.929 5.705
1.063 0.000 2.223
-0.068 -1.929 5.705
4.611 1.929 2.205
3.480 0.000 5.687
4.611 -1.929 2.205
```



Record 4
Density functional theory data (PBE) for a geometry-optimized LaMgI2O structure.

Results
Formation energy without anion corrections   -1.35 eV/atom
Polymorph energy (0 for the lowest one)   0.000 eV per atom

```
LaMgI2O
1.0
6.576 0.000 0.000
0.000 6.576 0.000
0.000 0.000 4.320
La Mg I O
1 1 2 1
Cartesian
0.000 0.000 0.000
3.288 3.288 2.160
0.000 3.288 0.000
3.288 0.000 0.000
0.000 0.000 2.160
```



Record 5
Density functional theory data (PBE) for a geometry-optimized CaAl2GaCu4 structure.

```
CaAl2GaCu4
1.0
2.083 1.203 8.790
-2.083 1.203 8.790
0.000 -2.406 8.790
Ca Al Ga Cu
1 2 1 4
Cartesian
0.000 0.000 0.000
0.000 0.000 6.401
0.000 0.000 19.970
0.000 0.000 13.185
0.000 0.000 3.419
0.000 0.000 10.748
0.000 0.000 15.623
0.000 0.000 22.951
```



Record 6
Density functional theory data (PBE) for a geometry-optimized Mg2SiAu structure.

Results
Formation energy without anion corrections   -0.22 eV/atom

```
Mg2SiAu
1.0
6.258 0.000 0.000
0.000 7.656 0.000
0.000 0.000 2.959
Mg Si Au
4 2 2
Cartesian
1.565 1.914 0.000
1.565 5.742 0.000
4.694 1.914 0.000
4.694 5.742 0.000
0.000 0.000 1.480
3.129 3.828 1.480
0.000 3.828 1.480
3.129 0.000 1.480
```



Record 7
Density functional theory data (PBE) for a geometry-optimized CsNa2Pt structure.

Results
Polymorph energy (0 for the lowest one)   0.000 eV per atom

```
CsNa2Pt
1.0
7.705 0.000 0.000
0.000 7.705 0.000
0.000 0.000 7.705
Cs Na Pt
4 8 4
Cartesian
0.000 0.000 0.000
0.000 3.852 3.852
3.852 0.000 3.852
3.852 3.852 0.000
1.926 1.926 1.926
1.926 1.926 5.779
1.926 5.779 1.926
1.926 5.779 5.779
5.779 1.926 1.926
5.779 1.926 5.779
5.779 5.779 1.926
5.779 5.779 5.779
0.000 0.000 3.852
0.000 3.852 0.000
3.852 0.000 0.000
3.852 3.852 3.852
```



Record 8
Density functional theory data (PBE) for a geometry-optimized LiLaSe2 structure.

Results
Formation energy without anion corrections   -1.59 eV/atom

```
LiLaSe2
1.0
4.649 0.000 0.000
0.000 5.566 0.000
0.000 0.000 7.259
Li La Se
2 2 4
Cartesian
0.000 0.000 0.000
2.325 2.783 3.629
0.000 0.000 3.629
2.325 2.783 0.000
0.000 2.783 1.960
0.000 2.783 5.299
2.325 0.000 1.670
2.325 0.000 5.589
```



Record 9
Density functional theory data (PBE) for a geometry-optimized CdCo2Cl2 structure.

Results
Formation energy without anion corrections   0.27 eV/atom

```
CdCo2Cl2
1.0
4.233 0.000 0.000
0.000 4.233 0.000
0.000 0.000 10.322
Cd Co Cl
2 4 4
Cartesian
0.000 0.000 0.000
2.116 2.116 5.161
0.000 0.000 4.032
0.000 0.000 6.290
2.116 2.116 1.129
2.116 2.116 9.193
0.000 2.116 2.580
0.000 2.116 7.741
2.116 0.000 2.580
2.116 0.000 7.741
```



Record 10
Density functional theory data (PBE) for a geometry-optimized Sm6Y3Er2Th structure.

```
Sm6Y3Er2Th
1.0
3.128 -5.411 0.000
3.128 5.411 0.000
-0.014 0.000 11.647
Sm Y Er Th
6 3 2 1
Cartesian
1.035 1.795 2.882
5.207 -1.795 8.765
2.062 0.000 8.766
1.035 -1.795 2.882
5.207 1.795 8.765
4.179 0.000 2.881
-0.007 0.000 5.823
3.121 1.803 5.823
3.121 -1.803 5.823
3.128 1.803 0.000
3.128 -1.803 0.000
0.000 0.000 0.000
```



Record 11
Density functional theory data (PBE) for a geometry-optimized SmDyAgIr structure.

```
SmDyAgIr
1.0
7.107 0.000 0.000
0.000 7.107 0.000
0.000 0.000 7.107
Sm Dy Ag Ir
4 4 4 4
Cartesian
0.000 0.000 0.000
0.000 3.553 3.553
3.553 0.000 3.553
3.553 3.553 0.000
0.000 0.000 3.553
0.000 3.553 0.000
3.553 0.000 0.000
3.553 3.553 3.553
1.777 1.777 5.330
1.777 5.330 1.777
5.330 1.777 1.777
5.330 5.330 5.330
1.777 1.777 1.777
1.777 5.330 5.330
5.330 1.777 5.330
5.330 5.330 1.777
```



Record 12
Density functional theory data (PBE) for a geometry-optimized ScTlMo2 structure.

Results
Polymorph energy (0 for the lowest one)   0.905 eV per atom

```
ScTlMo2
1.0
7.613 0.000 0.000
0.000 7.613 0.000
0.000 0.000 5.586
Sc Tl Mo
4 4 8
Cartesian
0.000 0.000 0.000
0.000 3.807 1.396
3.807 0.000 4.189
3.807 3.807 2.793
0.000 0.000 2.793
0.000 3.807 4.189
3.807 0.000 1.396
3.807 3.807 0.000
1.862 5.710 3.491
1.903 1.862 2.095
1.903 1.945 4.888
1.945 5.710 0.698
5.669 1.903 0.698
5.710 5.669 4.888
5.710 5.751 2.095
5.751 1.903 3.491
```



| no. | calculated total energy (eV per cell) |
| --- | --- |
| 1 | -79.65 |
| 2 | -16.03 |
| 3 | -56.05 |
| 4 | -21.35 |
| 5 | -30.17 |
| 6 | -25.58 |
| 7 | -36.20 |
| 8 | -40.31 |
| 9 | -34.94 |
| 10 | -63.99 |
| 11 | -92.81 |
| 12 | -105.94 |